(1)
Computed, not measured: crystalline Nd4Sm2DyY2 at its relaxed geometry at the GGA-PBE level of DFT.

a b c (Å): 15.4348 5.1411 8.0995
angles (deg): 90.00 108.55 90.00
Space group C2/m (No. 12)
One atom of each set of equivalent atoms:
Nd  0.0549  0.0000  0.3320 (multiplicity 4)
Nd  0.2221  0.5000  0.3324 (multiplicity 4)
Sm  0.1111  0.5000  0.6684 (multiplicity 4)
Dy  0.0000  0.5000  0.0000 (multiplicity 2)
Y  0.1664  0.0000  0.9999 (multiplicity 4)

As for the crystal system: monoclinic. For the formation energy, the calculation gives 18 meV per atom. The total energy comes out at -91.76 eV/cell.

---

(2)
Computed, not measured: crystalline MgSbIr2 at its relaxed geometry at the GGA-PBE level of DFT.

a b c (Å): 4.2429 4.2429 3.6229
angles (deg): 90.00 90.00 90.00
Space group P4/mmm (No. 123)
One atom of each set of equivalent atoms:
Mg  0.0000  0.0000  0.0000 (multiplicity 1)
Sb  0.5000  0.5000  0.0000 (multiplicity 1)
Ir  0.0000  0.5000  0.5000 (multiplicity 2)

As for the crystal system: tetragonal. The value obtained for the formation energy from raw total energies is -0.25 eV/atom. The total energy comes out at -24.45 eV/cell.

---

(3)
Computed, not measured: crystalline Zr2AgSeF at its relaxed geometry at the GGA-PBE level of DFT.

a b c (Å): 5.2700 5.2700 4.1290
angles (deg): 90.00 90.00 90.00
Space group P4/mmm (No. 123)
One atom of each set of equivalent atoms:
Zr  0.0000  0.5000  0.0000 (multiplicity 2)
Ag  0.0000  0.0000  0.0000 (multiplicity 1)
Se  0.5000  0.5000  0.5000 (multiplicity 1)
F  0.0000  0.0000  0.5000 (multiplicity 1)

As for the crystal system: tetragonal. The value obtained for the formation energy from raw total energies is 0.19 eV/atom. The total energy comes out at -24.33 eV/cell.

---

(4)
Computed, not measured: crystalline BaCd2SbIr at its relaxed geometry at the GGA-PBE level of DFT.

a b c (Å): 5.2805 5.2805 5.1818
angles (deg): 90.00 90.00 90.00
Space group P4/mmm (No. 123)
One atom of each set of equivalent atoms:
Ba  0.0000  0.0000  0.0000 (multiplicity 1)
Cd  0.0000  0.5000  0.5000 (multiplicity 2)
Sb  0.5000  0.5000  0.0000 (multiplicity 1)
Ir  0.5000  0.5000  0.5000 (multiplicity 1)

As for the crystal system: tetragonal. The value obtained for the formation energy from raw total energies is -0.26 eV/atom. The total energy comes out at -18.02 eV/cell.

---

(5)
Computed, not measured: crystalline BaMgCu2Ru at its relaxed geometry at the GGA-PBE level of DFT.

a b c (Å): 4.6885 4.6885 6.0218
angles (deg): 90.00 90.00 90.00
Space group P4/mmm (No. 123)
One atom of each set of equivalent atoms:
Ba  0.0000  0.0000  0.0000 (multiplicity 1)
Mg  0.0000  0.0000  0.5000 (multiplicity 1)
Cu  0.0000  0.5000  0.5000 (multiplicity 2)
Ru  0.5000  0.5000  0.0000 (multiplicity 1)

As for the crystal system: tetragonal. For the formation energy, the calculation gives 1305 meV per atom. The total energy comes out at -14.46 eV/cell.

---

(6)
Computed, not measured: crystalline FeCo2Se at its relaxed geometry at the GGA-PBE level of DFT.

a b c (Å): 2.7834 3.7984 4.9449
angles (deg): 90.00 105.48 90.00
Space group P2/m (No. 10)
One atom of each set of equivalent atoms:
Fe  0.0000  0.0000  0.0000 (multiplicity 1)
Co  0.3643  0.5000  0.7477 (multiplicity 2)
Se  0.0000  0.0000  0.5000 (multiplicity 1)

As for the crystal system: monoclinic. The value obtained for the formation energy from raw total energies is 0.24 eV/atom. The total energy comes out at -25.19 eV/cell.

---

(7)
Computed, not measured: crystalline Tb2DyPt2 at its relaxed geometry at the GGA-PBE level of DFT.

a b c (Å): 7.7476 7.7476 3.9946
angles (deg): 90.00 90.00 90.00
Space group P4/mbm (No. 127)
One atom of each set of equivalent atoms:
Tb  0.1613  0.3387  0.0000 (multiplicity 4)
Dy  0.0000  0.0000  0.5000 (multiplicity 2)
Pt  0.1392  0.6392  0.5000 (multiplicity 4)

As for the crystal system: tetragonal. For the formation energy, the calculation gives -1057 meV per atom. Its energy relative to the lowest polymorph listed for this composition is 0 meV/atom. The total energy comes out at -62.46 eV/cell.

---

(8)
Computed, not measured: crystalline AlCdNi2Br at its relaxed geometry at the GGA-PBE level of DFT.

a b c (Å): 4.4867 4.4867 5.2938
angles (deg): 90.00 90.00 90.00
Space group P4/mmm (No. 123)
One atom of each set of equivalent atoms:
Al  0.0000  0.0000  0.0000 (multiplicity 1)
Cd  0.5000  0.5000  0.5000 (multiplicity 1)
Ni  0.0000  0.5000  0.0000 (multiplicity 2)
Br  0.0000  0.0000  0.5000 (multiplicity 1)

As for the crystal system: tetragonal. The value obtained for the formation energy from raw total energies is 0.59 eV/atom. The total energy comes out at -14.95 eV/cell.